Record 1
Below is a relaxed structure of Er3ZrSn2C2, with properties calculated at the PBE level.

```
data_Er3ZrSn2C2
_cell_length_a 3.5197
_cell_length_b 3.5197
_cell_length_c 15.4636
_cell_angle_alpha 90.00
_cell_angle_beta 90.00
_cell_angle_gamma 120.00
_space_group_name_H-M_alt 'P 1'
_space_group_IT_number 1
loop_
_space_group_symop_operation_xyz
'x,y,z'
loop_
_atom_site_label
_atom_site_type_symbol
_atom_site_fract_x
_atom_site_fract_y
_atom_site_fract_z
Er1 Er 0.0000 0.0000 0.0000
Er2 Er 0.0000 0.0000 0.3353
Er3 Er 0.6667 0.3333 0.8279
Zr1 Zr 0.6667 0.3333 0.5012
Sn1 Sn 0.0000 0.0000 0.6576
Sn2 Sn 0.6667 0.3333 0.1687
C1 C 0.3333 0.6667 0.4259
C2 C 0.3333 0.6667 0.9135
```

Output
Its space group is No. 156. The value obtained for the total magnetization is 0.001 μB/atom.

---

Record 2
Below is a relaxed structure of ErZrSnC, with properties calculated at the PBE level.

```
data_ErZrSnC
_cell_length_a 3.4781
_cell_length_b 3.4781
_cell_length_c 15.1846
_cell_angle_alpha 90.00
_cell_angle_beta 90.00
_cell_angle_gamma 120.00
_space_group_name_H-M_alt 'P 1'
_space_group_IT_number 1
loop_
_space_group_symop_operation_xyz
'x,y,z'
loop_
_atom_site_label
_atom_site_type_symbol
_atom_site_fract_x
_atom_site_fract_y
_atom_site_fract_z
Er1 Er 0.3333 0.6667 0.4122
Er2 Er 0.6667 0.3333 0.5878
Zr1 Zr 0.3333 0.6667 0.0809
Zr2 Zr 0.6667 0.3333 0.9191
Sn1 Sn 0.3333 0.6667 0.7606
Sn2 Sn 0.6667 0.3333 0.2394
C1 C 0.0000 0.0000 0.0000
C2 C 0.0000 0.0000 0.5000
```

Output
Its energy above the lowest structure with this stoichiometry is 30 meV per atom. Its space group is No. 164. The value obtained for the total magnetization is 0.003 μB/atom.

---

Record 3
Below is a relaxed structure of ErZrSnC, with properties calculated at the PBE level.

```
data_ErZrSnC
_cell_length_a 3.4621
_cell_length_b 3.4621
_cell_length_c 15.2124
_cell_angle_alpha 90.00
_cell_angle_beta 90.00
_cell_angle_gamma 120.00
_space_group_name_H-M_alt 'P 1'
_space_group_IT_number 1
loop_
_space_group_symop_operation_xyz
'x,y,z'
loop_
_atom_site_label
_atom_site_type_symbol
_atom_site_fract_x
_atom_site_fract_y
_atom_site_fract_z
Er1 Er 0.0000 0.0000 0.1711
Er2 Er 0.0000 0.0000 0.8289
Zr1 Zr 0.6667 0.3333 0.3407
Zr2 Zr 0.6667 0.3333 0.6593
Sn1 Sn 0.0000 0.0000 0.5000
Sn2 Sn 0.6667 0.3333 0.0000
C1 C 0.3333 0.6667 0.2635
C2 C 0.3333 0.6667 0.7365
```

Output
Its energy above the lowest structure with this stoichiometry is 7 meV per atom. Its space group is No. 187. The value obtained for the total magnetization is 0.000 μB/atom.

---

Record 4
Below is a relaxed structure of ErTaC2, with properties calculated at the PBE level.

```
data_ErTaC2
_cell_length_a 5.7059
_cell_length_b 3.4598
_cell_length_c 11.0433
_cell_angle_alpha 90.00
_cell_angle_beta 90.00
_cell_angle_gamma 90.00
_space_group_name_H-M_alt 'P 1'
_space_group_IT_number 1
loop_
_space_group_symop_operation_xyz
'x,y,z'
loop_
_atom_site_label
_atom_site_type_symbol
_atom_site_fract_x
_atom_site_fract_y
_atom_site_fract_z
Er1 Er 0.0850 0.2500 0.1399
Er2 Er 0.4150 0.7500 0.6399
Er3 Er 0.5850 0.2500 0.3601
Er4 Er 0.9150 0.7500 0.8601
Ta1 Ta 0.0955 0.7500 0.3936
Ta2 Ta 0.4045 0.2500 0.8936
Ta3 Ta 0.5955 0.7500 0.1064
Ta4 Ta 0.9045 0.2500 0.6064
C1 C 0.1490 0.2500 0.7525
C2 C 0.2264 0.2500 0.4855
C3 C 0.2736 0.7500 0.9855
C4 C 0.3510 0.7500 0.2525
C5 C 0.6490 0.2500 0.7475
C6 C 0.7264 0.2500 0.0145
C7 C 0.7736 0.7500 0.5145
C8 C 0.8510 0.7500 0.2475
```

Output
Its space group is No. 62. The value obtained for the total magnetization is 0.000 μB/atom.

---

Record 5
Below is a relaxed structure of ErTa3C, with properties calculated at the PBE level.

```
data_ErTa3C
_cell_length_a 4.4380
_cell_length_b 4.4380
_cell_length_c 4.4380
_cell_angle_alpha 90.00
_cell_angle_beta 90.00
_cell_angle_gamma 90.00
_space_group_name_H-M_alt 'P 1'
_space_group_IT_number 1
loop_
_space_group_symop_operation_xyz
'x,y,z'
loop_
_atom_site_label
_atom_site_type_symbol
_atom_site_fract_x
_atom_site_fract_y
_atom_site_fract_z
Er1 Er 0.0000 0.0000 0.0000
Ta1 Ta 0.0000 0.5000 0.5000
Ta2 Ta 0.5000 0.0000 0.5000
Ta3 Ta 0.5000 0.5000 0.0000
C1 C 0.5000 0.5000 0.5000
```

Output
Its space group is No. 221. The value obtained for the total magnetization is 0.001 μB/atom.

---

Record 6
Below is a relaxed structure of Tb2Er2C3, with properties calculated at the PBE level.

```
data_Tb2Er2C3
_cell_length_a 6.7483
_cell_length_b 6.7483
_cell_length_c 6.0615
_cell_angle_alpha 114.17
_cell_angle_beta 114.17
_cell_angle_gamma 31.81
_space_group_name_H-M_alt 'P 1'
_space_group_IT_number 1
loop_
_space_group_symop_operation_xyz
'x,y,z'
loop_
_atom_site_label
_atom_site_type_symbol
_atom_site_fract_x
_atom_site_fract_y
_atom_site_fract_z
Tb1 Tb 0.1358 0.1358 0.4943
Tb2 Tb 0.8642 0.8642 0.5057
Er1 Er 0.3664 0.3664 0.0551
Er2 Er 0.6336 0.6336 0.9449
C1 C 0.2200 0.2200 0.2042
C2 C 0.5000 0.5000 0.5000
C3 C 0.7800 0.7800 0.7958
```

Output
Its space group is No. 12. The value obtained for the total magnetization is 0.001 μB/atom.

---

Record 7
Below is a relaxed structure of Tb3ErTe2C2, with properties calculated at the PBE level.

```
data_Tb3ErTe2C2
_cell_length_a 3.8402
_cell_length_b 3.8402
_cell_length_c 14.0682
_cell_angle_alpha 90.00
_cell_angle_beta 90.00
_cell_angle_gamma 120.00
_space_group_name_H-M_alt 'P 1'
_space_group_IT_number 1
loop_
_space_group_symop_operation_xyz
'x,y,z'
loop_
_atom_site_label
_atom_site_type_symbol
_atom_site_fract_x
_atom_site_fract_y
_atom_site_fract_z
Tb1 Tb 0.0000 0.0000 0.0000
Tb2 Tb 0.0000 0.0000 0.3143
Tb3 Tb 0.3333 0.6667 0.5025
Er1 Er 0.3333 0.6667 0.8146
Te1 Te 0.0000 0.0000 0.6608
Te2 Te 0.3333 0.6667 0.1572
C1 C 0.6667 0.3333 0.4084
C2 C 0.6667 0.3333 0.9059
```

Output
Its space group is No. 156. The value obtained for the total magnetization is 0.000 μB/atom.

---

Record 8
Below is a relaxed structure of TbEr3Te2C2, with properties calculated at the PBE level.

```
data_TbEr3Te2C2
_cell_length_a 3.8086
_cell_length_b 3.8086
_cell_length_c 13.9384
_cell_angle_alpha 90.00
_cell_angle_beta 90.00
_cell_angle_gamma 120.00
_space_group_name_H-M_alt 'P 1'
_space_group_IT_number 1
loop_
_space_group_symop_operation_xyz
'x,y,z'
loop_
_atom_site_label
_atom_site_type_symbol
_atom_site_fract_x
_atom_site_fract_y
_atom_site_fract_z
Tb1 Tb 0.0000 0.0000 0.0000
Er1 Er 0.0000 0.0000 0.6849
Er2 Er 0.6667 0.3333 0.1873
Er3 Er 0.6667 0.3333 0.5003
Te1 Te 0.0000 0.0000 0.3437
Te2 Te 0.6667 0.3333 0.8402
C1 C 0.3333 0.6667 0.0952
C2 C 0.3333 0.6667 0.5926
```

Output
Its space group is No. 156. The value obtained for the total magnetization is 0.000 μB/atom.

---

Record 9
Below is a relaxed structure of TbErZr2C3, with properties calculated at the PBE level.

```
data_TbErZr2C3
_cell_length_a 6.4773
_cell_length_b 6.4773
_cell_length_c 5.8830
_cell_angle_alpha 112.41
_cell_angle_beta 112.41
_cell_angle_gamma 31.66
_space_group_name_H-M_alt 'P 1'
_space_group_IT_number 1
loop_
_space_group_symop_operation_xyz
'x,y,z'
loop_
_atom_site_label
_atom_site_type_symbol
_atom_site_fract_x
_atom_site_fract_y
_atom_site_fract_z
Tb1 Tb 0.0000 0.0000 0.0000
Er1 Er 0.7560 0.7560 0.4126
Zr1 Zr 0.2392 0.2392 0.8746
Zr2 Zr 0.5194 0.5194 0.5401
C1 C 0.1135 0.1135 0.4675
C2 C 0.3774 0.3774 0.7014
C3 C 0.6462 0.6462 0.9485
```

Output
Its space group is No. 8. The value obtained for the total magnetization is 0.064 μB/atom.

---

Record 10
Below is a relaxed structure of Er2TcC2, with properties calculated at the PBE level.

```
data_Er2TcC2
_cell_length_a 6.0590
_cell_length_b 6.0590
_cell_length_c 6.6024
_cell_angle_alpha 115.51
_cell_angle_beta 115.51
_cell_angle_gamma 49.11
_space_group_name_H-M_alt 'P 1'
_space_group_IT_number 1
loop_
_space_group_symop_operation_xyz
'x,y,z'
loop_
_atom_site_label
_atom_site_type_symbol
_atom_site_fract_x
_atom_site_fract_y
_atom_site_fract_z
Er1 Er 0.0296 0.0296 0.2735
Er2 Er 0.3218 0.3218 0.8794
Er3 Er 0.6782 0.6782 0.1206
Er4 Er 0.9704 0.9704 0.7265
Tc1 Tc 0.3620 0.3620 0.3715
Tc2 Tc 0.6380 0.6380 0.6285
C1 C 0.1796 0.1796 0.1079
C2 C 0.4925 0.4925 0.7254
C3 C 0.5075 0.5075 0.2746
C4 C 0.8204 0.8204 0.8921
```

Output
Its space group is No. 12. The value obtained for the total magnetization is 0.000 μB/atom.

---

Record 11
Below is a relaxed structure of ErTm3Te2C2, with properties calculated at the PBE level.

```
data_ErTm3Te2C2
_cell_length_a 3.7781
_cell_length_b 3.7781
_cell_length_c 13.8488
_cell_angle_alpha 90.00
_cell_angle_beta 90.00
_cell_angle_gamma 120.00
_space_group_name_H-M_alt 'P 1'
_space_group_IT_number 1
loop_
_space_group_symop_operation_xyz
'x,y,z'
loop_
_atom_site_label
_atom_site_type_symbol
_atom_site_fract_x
_atom_site_fract_y
_atom_site_fract_z
Er1 Er 0.0000 0.0000 0.0000
Tm1 Tm 0.0000 0.0000 0.3153
Tm2 Tm 0.3333 0.6667 0.4999
Tm3 Tm 0.3333 0.6667 0.8152
Te1 Te 0.0000 0.0000 0.6576
Te2 Te 0.3333 0.6667 0.1578
C1 C 0.6667 0.3333 0.4076
C2 C 0.6667 0.3333 0.9074
```

Output
Its space group is No. 156. The value obtained for the total magnetization is 0.001 μB/atom.

---

Record 12
Below is a relaxed structure of ErTm3Te2C2, with properties calculated at the PBE level.

```
data_ErTm3Te2C2
_cell_length_a 3.7797
_cell_length_b 3.7797
_cell_length_c 13.8417
_cell_angle_alpha 90.00
_cell_angle_beta 90.00
_cell_angle_gamma 120.00
_space_group_name_H-M_alt 'P 1'
_space_group_IT_number 1
loop_
_space_group_symop_operation_xyz
'x,y,z'
loop_
_atom_site_label
_atom_site_type_symbol
_atom_site_fract_x
_atom_site_fract_y
_atom_site_fract_z
Er1 Er 0.0000 0.0000 0.0000
Tm1 Tm 0.0000 0.0000 0.6846
Tm2 Tm 0.6667 0.3333 0.1851
Tm3 Tm 0.6667 0.3333 0.5003
Te1 Te 0.0000 0.0000 0.3425
Te2 Te 0.6667 0.3333 0.8418
C1 C 0.3333 0.6667 0.0930
C2 C 0.3333 0.6667 0.5924
```

Output
Its space group is No. 156. The value obtained for the total magnetization is 0.001 μB/atom.

---

| no. | electronic total energy (eV per atom) |
| --- | --- |
| 1 | -6.715 |
| 2 | -7.249 |
| 3 | -7.272 |
| 4 | -9.190 |
| 5 | -9.859 |
| 6 | -6.806 |
| 7 | -6.264 |
| 8 | -6.261 |
| 9 | -8.138 |
| 10 | -7.950 |
| 11 | -6.230 |
| 12 | -6.230 |